# LiLa2InCo | Alexandria via LeMat-Bulk | PBE | optimized geometry
# DOS at the Fermi energy ... 4.6 states/eV/f.u.
# Total magnetic moment ... 0.0 μB per formula unit
# Energy of formation ... -0.921 eV per formula unit
data_LiLa2InCo
_chemical_formula_sum 'Li1 La2 In1 Co1'
_cell_length_a 5.266
_cell_length_b 5.266
_cell_length_c 5.088
_cell_angle_alpha 90.00
_cell_angle_beta 90.00
_cell_angle_gamma 90.00
_space_group_name_H-M_alt 'P 1'
_space_group_IT_number 1
loop_
_space_group_symop_operation_xyz
'x,y,z'
loop_
_atom_site_label
_atom_site_fract_x
_atom_site_fract_y
_atom_site_fract_z
La1 0.000 0.500 0.000
La2 0.500 0.000 0.000
Li1 0.500 0.500 0.500
In1 0.000 0.000 0.500
Co1 0.000 0.000 0.000

# ZrSc2Be | Alexandria via LeMat-Bulk | PBE | optimized geometry
# DOS at the Fermi energy ... 5.9 states/eV/f.u.
# Total magnetic moment ... 1.0 μB per formula unit
# Energy of formation ... 0.974 eV per formula unit
data_ZrSc2Be
_chemical_formula_sum 'Zr1 Sc2 Be1'
_cell_length_a 4.811
_cell_length_b 4.811
_cell_length_c 4.811
_cell_angle_alpha 60.00
_cell_angle_beta 60.00
_cell_angle_gamma 60.00
_space_group_name_H-M_alt 'P 1'
_space_group_IT_number 1
loop_
_space_group_symop_operation_xyz
'x,y,z'
loop_
_atom_site_label
_atom_site_fract_x
_atom_site_fract_y
_atom_site_fract_z
Sc1 0.250 0.250 0.250
Sc2 0.000 0.000 0.000
Zr1 0.750 0.750 0.750
Be1 0.500 0.500 0.500

Which of these has the highest energy of formation? ZrSc2Be

What is the energy of formation in the second record? 0.974 eV per formula unit

total magnetic moment of number 1 (LiLa2InCo)? 0.0 μB per formula unit

The lowest DOS at the Fermi energy belongs to which entry? LiLa2InCo